(1)
Material: LiRuC3
Method: DFT, SCAN
State: PBEsol geometry

N(E_F)	2.70	states/eV/cell
final energy	-11.742	eV/atom
V	60.4	Å³/cell
energy of formation	1.761	eV per atom

Cell lengths 3.9233, 3.9233, 3.9233 Å; angles 90.00, 90.00, 90.00 degrees
Space group Pm-3m (No. 221)
Symmetry-distinct sites (fractional):
Li1 0.0000 0.0000 0.0000
Ru1 0.5000 0.5000 0.5000
C1 0.0000 0.5000 0.5000

(2)
Material: LiRu2C
Method: DFT, SCAN
State: PBEsol geometry

N(E_F)	12.14	states/eV/cell
final energy	-20.285	eV/atom
V	186.4	Å³/cell
energy of formation	0.251	eV per atom

Cell lengths 6.5877, 6.5877, 4.2945 Å; angles 90.00, 90.00, 90.00 degrees
Space group I-42d (No. 122)
Symmetry-distinct sites (fractional):
Li1 0.0000 0.0000 0.0000
Ru1 0.1461 0.7500 0.6250
C1 0.0000 0.0000 0.5000